1.
The following is a DFT calculation (PBE) of a geometry-optimized NaZn4Te2 structure.

Cell and atoms, written as CIF:
```
data_NaZn4Te2
_cell_length_a 5.423
_cell_length_b 5.423
_cell_length_c 14.266
_cell_angle_alpha 90.00
_cell_angle_beta 90.00
_cell_angle_gamma 90.00
_symmetry_space_group_name_H-M 'I 4/m m m'
_symmetry_Int_Tables_number 139
_symmetry_space_group_name_Hall '-I 4 2'
loop_
_atom_site_label
_atom_site_type_symbol
_atom_site_fract_x
_atom_site_fract_y
_atom_site_fract_z
_atom_site_occupancy
Na1 Na 0.000 0.000 0.000 1
Zn1 Zn 0.000 0.000 0.197 1
Zn2 Zn 0.000 0.500 0.000 1
Te1 Te 0.000 0.000 0.389 1
```

DOS(E_F): 0.4044 states/eV/atom
Formation energy without anion corrections: 0.3753 eV per atom

2.
The following is a DFT calculation (PBE) of a geometry-optimized NaZr4Te8 structure.

Cell and atoms, written as CIF:
```
data_NaZr4Te8
_cell_length_a 7.9781
_cell_length_b 7.9781
_cell_length_c 24.2687
_cell_angle_alpha 90.00
_cell_angle_beta 90.00
_cell_angle_gamma 120.00
_symmetry_space_group_name_H-M 'R -3 m'
_symmetry_Int_Tables_number 166
_symmetry_space_group_name_Hall '-R 3 2"'
loop_
_atom_site_label
_atom_site_type_symbol
_atom_site_fract_x
_atom_site_fract_y
_atom_site_fract_z
_atom_site_occupancy
Na1 Na 0.0000 0.0000 0.0000 1
Zr1 Zr 0.0000 0.0000 0.5000 1
Zr2 Zr 0.0000 0.5000 0.5000 1
Te1 Te 0.0000 0.0000 0.2408 1
Te2 Te 0.0028 0.5014 0.2410 1
```

DOS(E_F): 0.2372 states/eV/atom
Offset from the most stable computed form: 0 meV/atom
Formation energy without anion corrections: -0.9115 eV per atom

3.
The following is a DFT calculation (PBE) of a geometry-optimized NaZrTe3 structure.

Cell and atoms, written as CIF:
```
data_NaZrTe3
_cell_length_a 5.718
_cell_length_b 8.464
_cell_length_c 6.755
_cell_angle_alpha 90.00
_cell_angle_beta 101.79
_cell_angle_gamma 90.00
_symmetry_space_group_name_H-M 'P 1 21/m 1'
_symmetry_Int_Tables_number 11
_symmetry_space_group_name_Hall '-P 2yb'
loop_
_atom_site_label
_atom_site_type_symbol
_atom_site_fract_x
_atom_site_fract_y
_atom_site_fract_z
_atom_site_occupancy
Na1 Na 0.027 0.250 0.470 1
Zr1 Zr 0.491 0.250 0.998 1
Te1 Te 0.009 0.750 0.018 1
Te2 Te 0.385 0.504 0.693 1
```

DOS(E_F): 0.5075 states/eV/atom
Offset from the most stable computed form: 0 meV/atom
Formation energy without anion corrections: -0.6684 eV per atom

4.
The following is a DFT calculation (PBE) of a geometry-optimized Na4ZrTe4 structure.

Cell and atoms, written as CIF:
```
data_Na4ZrTe4
_cell_length_a 7.444
_cell_length_b 7.444
_cell_length_c 13.220
_cell_angle_alpha 90.00
_cell_angle_beta 90.00
_cell_angle_gamma 90.00
_symmetry_space_group_name_H-M 'I -4 2 m'
_symmetry_Int_Tables_number 121
_symmetry_space_group_name_Hall 'I -4 2'
loop_
_atom_site_label
_atom_site_type_symbol
_atom_site_fract_x
_atom_site_fract_y
_atom_site_fract_z
_atom_site_occupancy
Na1 Na 0.000 0.000 0.210 1
Na2 Na 0.000 0.500 0.000 1
Zr1 Zr 0.000 0.000 0.500 1
Te1 Te 0.213 0.213 0.622 1
```

DOS(E_F): 0.0000 states/eV/atom
Formation energy without anion corrections: -0.8667 eV per atom

5.
The following is a DFT calculation (PBE) of a geometry-optimized Na3ZrTe structure.

Cell and atoms, written as CIF:
```
data_Na3ZrTe
_cell_length_a 6.018
_cell_length_b 6.018
_cell_length_c 6.018
_cell_angle_alpha 90.00
_cell_angle_beta 90.00
_cell_angle_gamma 90.00
_symmetry_space_group_name_H-M 'P m -3 m'
_symmetry_Int_Tables_number 221
_symmetry_space_group_name_Hall '-P 4 2 3'
loop_
_atom_site_label
_atom_site_type_symbol
_atom_site_fract_x
_atom_site_fract_y
_atom_site_fract_z
_atom_site_occupancy
Na1 Na 0.000 0.000 0.500 1
Zr1 Zr 0.000 0.000 0.000 1
Te1 Te 0.500 0.500 0.500 1
```

DOS(E_F): 1.4508 states/eV/atom
Offset from the most stable computed form: 503 meV/atom
Formation energy without anion corrections: 0.9972 eV per atom

6.
The following is a DFT calculation (PBE) of a geometry-optimized NaZrTe3 structure.

Cell and atoms, written as CIF:
```
data_NaZrTe3
_cell_length_a 5.658
_cell_length_b 5.658
_cell_length_c 5.658
_cell_angle_alpha 90.00
_cell_angle_beta 90.00
_cell_angle_gamma 90.00
_symmetry_space_group_name_H-M 'P m -3 m'
_symmetry_Int_Tables_number 221
_symmetry_space_group_name_Hall '-P 4 2 3'
loop_
_atom_site_label
_atom_site_type_symbol
_atom_site_fract_x
_atom_site_fract_y
_atom_site_fract_z
_atom_site_occupancy
Na1 Na 0.000 0.000 0.000 1
Zr1 Zr 0.500 0.500 0.500 1
Te1 Te 0.000 0.500 0.500 1
```

DOS(E_F): 0.4350 states/eV/atom
Offset from the most stable computed form: 115 meV/atom
Formation energy without anion corrections: -0.5530 eV per atom

7.
The following is a DFT calculation (PBE) of a geometry-optimized NaZr4Te8 structure.

Cell and atoms, written as CIF:
```
data_NaZr4Te8
_cell_length_a 12.044
_cell_length_b 12.044
_cell_length_c 12.044
_cell_angle_alpha 90.00
_cell_angle_beta 90.00
_cell_angle_gamma 90.00
_symmetry_space_group_name_H-M 'F -4 3 m'
_symmetry_Int_Tables_number 216
_symmetry_space_group_name_Hall 'F -4 2 3'
loop_
_atom_site_label
_atom_site_type_symbol
_atom_site_fract_x
_atom_site_fract_y
_atom_site_fract_z
_atom_site_occupancy
Na1 Na 0.000 0.000 0.000 1
Zr1 Zr 0.119 0.119 0.381 1
Te1 Te 0.124 0.124 0.624 1
Te2 Te 0.136 0.136 0.136 1
```

DOS(E_F): 0.4231 states/eV/atom
Offset from the most stable computed form: 90 meV/atom
Formation energy without anion corrections: -0.8218 eV per atom

8.
The following is a DFT calculation (PBE) of a geometry-optimized NaZr3Te6 structure.

Cell and atoms, written as CIF:
```
data_NaZr3Te6
_cell_length_a 12.192
_cell_length_b 4.003
_cell_length_c 13.779
_cell_angle_alpha 90.00
_cell_angle_beta 110.51
_cell_angle_gamma 90.00
_symmetry_space_group_name_H-M 'P 1 21/m 1'
_symmetry_Int_Tables_number 11
_symmetry_space_group_name_Hall '-P 2yb'
loop_
_atom_site_label
_atom_site_type_symbol
_atom_site_fract_x
_atom_site_fract_y
_atom_site_fract_z
_atom_site_occupancy
Na1 Na 0.175 0.250 0.002 1
Zr1 Zr 0.152 0.750 0.517 1
Zr2 Zr 0.205 0.250 0.296 1
Zr3 Zr 0.476 0.250 0.864 1
Te1 Te 0.010 0.250 0.366 1
Te2 Te 0.091 0.750 0.142 1
Te3 Te 0.285 0.250 0.661 1
Te4 Te 0.340 0.750 0.928 1
Te5 Te 0.346 0.750 0.439 1
Te6 Te 0.407 0.250 0.214 1
```

DOS(E_F): 0.2962 states/eV/atom
Formation energy without anion corrections: -0.8559 eV per atom

Asked for total moment across the records above, the calculation gives 0.0 0.0 0.0 0.0 3.0 0.0 0.0 0.0 Bohr magnetons per cell in order.
Asked for uncorrected energy across the records above, the calculation gives -20.143 -217.485 -45.269 -68.382 -10.661 -22.057 -285.315 -108.745 eV/cell in order.